This record from the Alexandria database describes a relaxed Nd3AgPd8 crystal. The functional is PBE.

a b c (Å): 5.464 5.464 9.507
angles (deg): 73.30 73.30 60.00
Atoms (fractional coordinates):
Pd  0.188  0.188  0.436
Pd  0.941  0.437  0.185
Pd  0.688  0.688  0.936
Pd  0.437  0.941  0.185
Pd  0.437  0.437  0.185
Pd  0.938  0.438  0.687
Pd  0.938  0.938  0.687
Pd  0.438  0.938  0.687
Nd  0.378  0.378  0.866
Nd  0.989  0.989  0.033
Nd  0.509  0.509  0.474
Ag  0.870  0.870  0.391

Computed properties:
DFT formation energy	-676	meV per atom
spin magnetization	0.00	μB/f.u.
N(E_F)	6.91	states/eV per cell
crystal system	trigonal
SG	R3m, No. 160
volume	231.90	Å³ per cell

***

This record from the Alexandria database describes a relaxed Nd5AgPd2 crystal. The functional is PBE.

a b c (Å): 8.154 8.154 8.839
angles (deg): 117.47 117.47 90.00
Atoms (fractional coordinates):
Ag  0.250  0.250  0.500
Ag  0.750  0.750  0.500
Pd  0.372  0.872  0.000
Pd  0.128  0.372  0.000
Pd  0.628  0.128  0.000
Pd  0.872  0.628  0.000
Nd  0.803  0.979  0.283
Nd  0.521  0.697  0.717
Nd  0.479  0.303  0.283
Nd  0.303  0.803  0.283
Nd  0.197  0.021  0.717
Nd  0.000  0.000  0.000
Nd  0.697  0.197  0.717
Nd  0.021  0.521  0.717
Nd  0.979  0.479  0.283
Nd  0.500  0.500  0.000

Computed properties:
DFT formation energy	-442	meV per atom
spin magnetization	0.00	μB/f.u.
N(E_F)	17.21	states/eV per cell
crystal system	tetragonal
SG	I4/mcm, No. 140
volume	445.51	Å³ per cell